No. 1
This record from Alexandria describes a relaxed structure of Ce3BN4. The functional is PBE-GGA.

It has space group Pmn2_1 (No. 31), with a = 6.808 Å, b = 6.653 Å, c = 5.146 Å, α = 90.00°, β = 90.00° and γ = 90.00°. The inequivalent atoms are Ce at (0.000, 0.098, 0.000), Ce at (0.233, 0.365, 0.503), B at (0.000, 0.837, 0.472), N at (0.000, 0.085, 0.506), N at (0.000, 0.785, 0.168) and N at (0.198, 0.738, 0.585).

Its calculated volume is 14.57 A^3/atom. The formation energy without anion corrections comes out at -722 kJ/mol of formula units.

=====

No. 2
This record from Alexandria describes a relaxed structure of Ce15B8N25. The functional is PBE-GGA.

It has space group R-3c (No. 167, hexagonal axes), with a = 14.1347 Å, b = 14.1347 Å, c = 20.8893 Å, α = 90.00°, β = 90.00° and γ = 120.00°. The inequivalent atoms are Ce at (0.0000, 0.1481, 0.2500), Ce at (0.0023, 0.2623, 0.8380), Ce at (0.0187, 0.1604, 0.0711), B at (0.0000, 0.0000, 0.1646), B at (0.0258, 0.4648, 0.6267), N at (0.0000, 0.0000, 0.0000), N at (0.0008, 0.2064, 0.5442), N at (0.0069, 0.4807, 0.4222), N at (0.0202, 0.1116, 0.8352) and N at (0.0493, 0.4589, 0.8204).

Its calculated volume is 12.55 A^3/atom. The formation energy without anion corrections comes out at -6554 kJ/mol of formula units.